# Al3NiCl PBE relaxed
data_Al3NiCl
_chemical_formula_sum 'Al3 Ni1 Cl1'
_space_group_name_H-M_alt 'P m -3 m'
_space_group_IT_number 221
_space_group_name_Hall '-P 4 2 3'
_cell_length_a 4.579
_cell_length_b 4.579
_cell_length_c 4.579
_cell_angle_alpha 90.00
_cell_angle_beta 90.00
_cell_angle_gamma 90.00
loop_
_atom_site_label
_atom_site_fract_x
_atom_site_fract_y
_atom_site_fract_z
Al1 0.000 0.000 0.500
Ni1 0.000 0.000 0.000
Cl1 0.500 0.500 0.500
# spin magnetization	0.0	Bohr magnetons per cell
# relative energy among the computed polymorphs	0	meV per atom
# energy relative to the elements, uncorrected	-343	meV per atom
# E	-4.11	eV per atom